No. 1
A plane-wave DFT calculation with PBE+U was carried out for a geometry-optimized VHgO3 structure.

Cell lengths 3.1149, 6.3209, 7.3217 Å; angles 90.00, 90.00, 61.56 degrees
Closest atoms and distances in Å follow each position.
Fractional positions:
V 0.0000 0.0000 0.7500  2 O 1.83
V 0.0000 0.0000 0.2500  2 O 1.83
O 0.9999 0.9999 0.5000  2 V 1.83
O 0.0001 0.0001 0.0000  2 V 1.83
O 0.7323 0.7596 0.7500  2 V 2.05
O 0.7323 0.7596 0.2500  2 V 2.05
O 0.2677 0.2404 0.7500  2 V 2.05
O 0.2677 0.2404 0.2500  2 V 2.05
Hg 0.9999 0.5002 0.0000  4 O 2.33
Hg 0.0001 0.4998 0.5000  4 O 2.33

Symmetry: P2/m
Electronic total energy, eV/cell: -57.56



No. 2
A plane-wave DFT calculation with PBE+U was carried out for a geometry-optimized VHg2O2 structure.

Cell lengths 4.1160, 4.1160, 5.7142 Å; angles 68.89, 68.89, 90.00 degrees
Closest atoms and distances in Å follow each position.
Fractional positions:
Hg 0.6362 0.6362 0.7275  4 O 2.34
Hg 0.3638 0.3638 0.2725  4 O 2.34
V 0.0000 0.0000 0.0000  10 Hg 3.20-3.58, 8 O 3.21
O 0.7500 0.2500 0.5000  4 Hg 2.34
O 0.2500 0.7500 0.5000  4 Hg 2.34

Symmetry: I4/mmm
Electronic total energy, eV/cell: -16.98



No. 3
A plane-wave DFT calculation with PBE+U was carried out for a geometry-optimized VHgO3 structure.

Cell lengths 4.1725, 4.1725, 4.1725 Å; angles 90.00, 90.00, 90.00 degrees
Closest atoms and distances in Å follow each position.
Fractional positions:
Hg 0.0000 0.0000 0.0000  6 O 2.09
V 0.5000 0.5000 0.5000  12 O 2.95
O 0.0000 0.5000 0.0000  2 Hg 2.09
O 0.0000 0.0000 0.5000  2 Hg 2.09
O 0.5000 0.0000 0.0000  2 Hg 2.09

Symmetry: Pm-3m
Electronic total energy, eV/cell: -20.70



No. 4
A plane-wave DFT calculation with PBE+U was carried out for a geometry-optimized VHgO3 structure.

Cell lengths 3.8707, 3.8707, 3.8707 Å; angles 90.00, 90.00, 90.00 degrees
Closest atoms and distances in Å follow each position.
Fractional positions:
O 0.0000 0.0000 0.5000  2 V 1.94
O 0.0000 0.5000 0.0000  2 V 1.94
O 0.5000 0.0000 0.0000  2 V 1.94
V 0.0000 0.0000 0.0000  6 O 1.94
Hg 0.5000 0.5000 0.5000  12 O 2.74

Symmetry: Pm-3m
Electronic total energy, eV/cell: -28.03



No. 5
A plane-wave DFT calculation with PBE+U was carried out for a geometry-optimized VHg3O structure.

Cell lengths 4.8180, 4.8180, 4.8180 Å; angles 90.00, 90.00, 90.00 degrees
Closest atoms and distances in Å follow each position.
Fractional positions:
Hg 0.5000 0.0000 0.0000  2 O 2.41
Hg 0.0000 0.5000 0.0000  2 O 2.41
Hg 0.0000 0.0000 0.5000  2 O 2.41
V 0.5000 0.5000 0.5000  12 Hg 3.41
O 0.0000 0.0000 0.0000  6 Hg 2.41

Excess energy over the best structure of this formula in the dataset, meV per atom: 0.0
Symmetry: Pm-3m



No. 6
A plane-wave DFT calculation with PBE+U was carried out for a geometry-optimized V3Hg2O9 structure.

Cell lengths 8.3084, 8.3823, 7.7659 Å; angles 103.71, 109.31, 115.51 degrees
Closest atoms and distances in Å follow each position.
Fractional positions:
O 0.9855 0.1969 0.5381  1 V 1.65
O 0.8124 0.5097 0.9732  1 V 1.66
O 0.8074 0.9910 0.1131  2 V 1.81-1.84
O 0.1287 0.6668 0.7563  2 V 1.88-2.00
O 0.3812 0.8033 0.6236  2 V 1.88-1.95
O 0.4221 0.1467 0.7389  2 V 1.90-2.00
O 0.1876 0.4903 0.0268  1 V 1.66
O 0.7284 0.1267 0.8608  2 V 1.82
O 0.0145 0.8031 0.4619  1 V 1.65
O 0.6188 0.1967 0.3764  2 V 1.88-1.95
O 0.4611 0.6644 0.8781  2 V 1.89-1.95
O 0.5389 0.3356 0.1219  2 V 1.89-1.95
O 0.7424 0.7911 0.7230  1 V 1.68
O 0.2576 0.2089 0.2770  1 V 1.68
O 0.5779 0.8533 0.2611  2 V 1.90-2.00
O 0.2716 0.8733 0.1392  2 V 1.82
O 0.8713 0.3332 0.2437  2 V 1.88-2.00
O 0.1926 0.0090 0.8869  2 V 1.81-1.84
V 0.7805 0.1133 0.3223  2 O 1.65-1.84
V 0.3086 0.6944 0.0028  2 O 1.66-1.82
V 0.6914 0.3056 0.9972  2 O 1.66-1.82
V 0.6416 0.8799 0.8409  3 O 1.68-1.82
V 0.2195 0.8867 0.6777  2 O 1.65-1.84
V 0.3584 0.1201 0.1591  3 O 1.68-1.82
Hg 0.6535 0.6499 0.3542  3 O 2.24-2.42
Hg 0.3465 0.3501 0.6458  3 O 2.24-2.42
Hg 0.7799 0.5043 0.6576  4 O 2.34-2.51
Hg 0.2201 0.4957 0.3424  4 O 2.34-2.51

Symmetry: P-1
Electronic total energy, eV/cell: -172.11



No. 7
A plane-wave DFT calculation with PBE+U was carried out for a geometry-optimized VHg2O4 structure.

Cell lengths 16.8571, 3.7405, 15.1802 Å; angles 75.88, 90.00, 90.00 degrees
Closest atoms and distances in Å follow each position.
Fractional positions:
O 0.2969 0.3802 0.6239  3 V 1.94-1.99
O 0.2031 0.3802 0.1239  3 V 1.94-1.99
O 0.8726 0.5183 0.4770  1 V 1.68
O 0.6209 0.2160 0.2739  1 V 1.68
O 0.4487 0.2110 0.8746  3 Hg 2.06-2.16
O 0.3854 0.2888 0.2095  1 V 1.70
O 0.0513 0.2110 0.3746  3 Hg 2.06-2.16
O 0.7098 0.1214 0.8749  3 V 1.94-1.99
O 0.2098 0.8786 0.6251  3 V 1.94-1.99
O 0.7969 0.6198 0.8761  3 V 1.94-1.99
O 0.5513 0.7890 0.1254  3 Hg 2.06-2.16
O 0.8791 0.2160 0.7739  1 V 1.68
O 0.8854 0.7112 0.2905  1 V 1.70
O 0.7031 0.6198 0.3761  3 V 1.94-1.99
O 0.3924 0.9606 0.5397  1 V 1.70
O 0.6146 0.7112 0.7905  1 V 1.70
O 0.9355 0.3707 0.1246  3 Hg 2.10-2.23
O 0.1146 0.2888 0.7095  1 V 1.70
O 0.0645 0.6293 0.8754  3 Hg 2.10-2.23
O 0.3726 0.4817 0.0230  1 V 1.68
O 0.1274 0.4817 0.5230  1 V 1.68
O 0.1209 0.7840 0.2261  1 V 1.68
O 0.1076 0.9606 0.0397  1 V 1.70
O 0.2902 0.8786 0.1251  3 V 1.94-1.99
O 0.6274 0.5183 0.9770  1 V 1.68
O 0.4355 0.6293 0.3754  3 Hg 2.10-2.23
O 0.7902 0.1214 0.3749  3 V 1.94-1.99
O 0.5645 0.3707 0.6246  3 Hg 2.10-2.23
O 0.9487 0.7890 0.6254  3 Hg 2.06-2.16
O 0.8924 0.0394 0.9603  1 V 1.70
O 0.6076 0.0394 0.4603  1 V 1.70
O 0.3791 0.7840 0.7261  1 V 1.68
Hg 0.6781 0.8808 0.1250  1 O 2.16
Hg 0.4944 0.7469 0.2499  2 O 2.09-2.10
Hg 0.1781 0.1192 0.3750  1 O 2.16
Hg 0.0056 0.7469 0.7499  2 O 2.09-2.10
Hg 0.6689 0.0068 0.6239  1 O 2.23
Hg 0.8219 0.8808 0.6250  1 O 2.16
Hg 0.8311 0.0068 0.1239  1 O 2.23
Hg 0.0000 0.0000 0.5000  2 O 2.06
Hg 0.5056 0.2531 0.7501  2 O 2.09-2.10
Hg 0.9944 0.2531 0.2501  2 O 2.09-2.10
Hg 0.5000 0.0000 0.0000  2 O 2.06
Hg 0.0000 0.5000 0.0000  2 O 2.13
Hg 0.3311 0.9932 0.3761  1 O 2.23
Hg 0.1689 0.9932 0.8761  1 O 2.23
Hg 0.5000 0.5000 0.5000  2 O 2.13
Hg 0.3219 0.1192 0.8750  1 O 2.16
V 0.6787 0.6166 0.8794  2 O 1.68-1.70
V 0.3213 0.3834 0.1206  2 O 1.68-1.70
V 0.8279 0.1242 0.8714  2 O 1.68-1.70
V 0.8213 0.6166 0.3794  2 O 1.68-1.70
V 0.1787 0.3834 0.6206  2 O 1.68-1.70
V 0.3279 0.8758 0.6286  2 O 1.68-1.70
V 0.1721 0.8758 0.1286  2 O 1.68-1.70
V 0.6721 0.1242 0.3714  2 O 1.68-1.70

Excess energy over the best structure of this formula in the dataset, meV per atom: 0.0
Symmetry: P2_1/c



No. 8
A plane-wave DFT calculation with PBE+U was carried out for a geometry-optimized V2HgO4 structure.

Cell lengths 6.2911, 6.2911, 6.2950 Å; angles 119.06, 119.05, 91.61 degrees
Closest atoms and distances in Å follow each position.
Fractional positions:
Hg 0.2500 0.7500 0.5000  4 O 2.24
Hg 0.0000 0.0000 0.0000  4 O 2.24
O 0.4344 0.1508 0.3000  3 V 2.04-2.12, 1 Hg 2.24
O 0.3992 0.6156 0.8000  3 V 2.04-2.12, 1 Hg 2.24
O 0.8495 0.1493 0.2840  3 V 2.04-2.12, 1 Hg 2.24
O 0.4005 0.6007 0.2160  3 V 2.04-2.12, 1 Hg 2.24
O 0.8508 0.1344 0.7000  3 V 2.04-2.12, 1 Hg 2.24
O 0.3847 0.1844 0.7840  3 V 2.04-2.12, 1 Hg 2.24
O 0.8653 0.5656 0.7160  3 V 2.04-2.12, 1 Hg 2.24
O 0.8156 0.5992 0.2000  3 V 2.04-2.12, 1 Hg 2.24
V 0.1250 0.3750 0.7500  6 O 2.04-2.12
V 0.6250 0.3750 0.2500  6 O 2.04-2.12
V 0.6250 0.8750 0.2500  6 O 2.04-2.12
V 0.6250 0.3750 0.7500  6 O 2.04-2.12

Symmetry: I4_1/a
Electronic total energy, eV/cell: -91.90



No. 9
A plane-wave DFT calculation with PBE+U was carried out for a geometry-optimized VHg2O4 structure.

Cell lengths 4.0632, 4.0632, 6.2872 Å; angles 71.15, 71.15, 90.00 degrees
Closest atoms and distances in Å follow each position.
Fractional positions:
Hg 0.3580 0.3580 0.2840  1 O 2.15
Hg 0.6420 0.6420 0.7160  1 O 2.15
O 0.8341 0.8341 0.3319  1 V 1.86
O 0.0000 0.5000 0.0000  2 V 2.03
O 0.5000 0.0000 0.0000  2 V 2.03
O 0.1659 0.1659 0.6681  1 V 1.86
V 0.0000 0.0000 0.0000  6 O 1.86-2.03

Excess energy over the best structure of this formula in the dataset, meV per atom: 279.1
Symmetry: I4/mmm